{"formula": "Li2AlTc", "functional": "PBE", "state": "relaxed", "lattice": [[-1.1751, -1.8923, 1.2994], [2.2503, -0.6615, 1.0717], [-1.5650, 5.6031, 6.7444]], "species": ["Li", "Li", "Tc", "Al"], "fractional_positions": [[0.0000, 0.0000, 0.4965], [0.0000, 0.0000, 0.0035], [0.5000, 0.5000, 0.2500], [0.5000, 0.5000, 0.7500]], "dos_ef_per_ev_cell": 2.12, "dft_energy_ev_per_atom": -4.3675, "crystal_system": "tetragonal", "ef_ev_per_atom": 0.117}